[1]
Compound: CuAg7
Source: the Open Quantum Materials Database
Functional: PBE
Structure: optimized geometry

Space group = No. 123
Energy above the most stable polymorph in this dataset = 0.000 eV per atom
E_form = 0.024 eV per atom
DFT total energy = -2.9123 eV per atom

The structure in POSCAR format:
```
CuAg7
1.0
-2.896 0.161 0.228
-0.259 -2.439 -1.565
0.581 -8.795 13.609
Ag Cu
7 1
direct
0.500 0.500 0.890 Ag
0.000 0.000 0.760 Ag
0.000 0.000 0.500 Ag
0.500 0.500 0.370 Ag
0.500 0.500 0.630 Ag
0.000 0.000 0.240 Ag
0.500 0.500 0.110 Ag
0.000 0.000 0.000 Cu
```

***

[2]
Compound: HoTm2In3Ag2Au
Source: the Open Quantum Materials Database
Functional: PBE
Structure: optimized geometry

Space group = No. 38
Total magnetic moment = 0.0002 μB per atom
DFT total energy = -3.9105 eV per atom

The structure in POSCAR format:
```
HoTm2In3Ag2Au
1.0
-3.905 -0.082 -0.055
0.009 -4.639 6.288
-0.174 7.764 0.858
Tm In Ho Au Ag
2 3 1 1 2
direct
0.000 0.000 0.601 Tm
0.000 0.601 0.000 Tm
0.500 0.267 0.000 In
0.500 0.000 0.267 In
0.500 0.733 0.733 In
0.000 0.399 0.399 Ho
0.000 0.999 0.999 Au
0.500 0.668 0.333 Ag
0.500 0.333 0.668 Ag
```